No. 1
VASP calculation (PBE-GGA) on crystalline K3PuMg2F9 at its relaxed geometry.

a = 5.874 Å, b = 5.874 Å, c = 7.993 Å
α = 90.00°, β = 90.00°, γ = 120.00°
Fractional coordinates of all 15 atoms:
1 K 0.000 0.000 0.000
2 K 0.333 0.667 0.727
3 K 0.667 0.333 0.273
4 Pu 0.000 0.000 0.500
5 Mg 0.333 0.667 0.149
6 Mg 0.667 0.333 0.851
7 F 0.000 0.500 0.000
8 F 0.171 0.342 0.290
9 F 0.171 0.829 0.290
10 F 0.342 0.171 0.710
11 F 0.500 0.000 0.000
12 F 0.500 0.500 0.000
13 F 0.658 0.829 0.290
14 F 0.829 0.171 0.710
15 F 0.829 0.658 0.710

formation energy (no corrections) = -46.97 eV per formula unit
total magnetic moment = 5.9 μB/cell

=====

No. 2
VASP calculation (PBE-GGA) on crystalline Ce2TiCoN5 at its relaxed geometry.

a = 6.951 Å, b = 6.951 Å, c = 9.877 Å
α = 90.00°, β = 90.00°, γ = 152.76°
Fractional coordinates of all 18 atoms:
1 Ce 0.120 0.880 0.500
2 Ce 0.133 0.867 0.133
3 Ce 0.867 0.133 0.633
4 Ce 0.880 0.120 0.000
5 Ti 0.202 0.798 0.830
6 Ti 0.798 0.202 0.330
7 Co 0.450 0.550 0.253
8 Co 0.550 0.450 0.753
9 N 0.032 0.968 0.821
10 N 0.298 0.702 0.471
11 N 0.319 0.681 0.185
12 N 0.341 0.659 0.816
13 N 0.497 0.503 0.583
14 N 0.503 0.497 0.083
15 N 0.659 0.341 0.316
16 N 0.681 0.319 0.685
17 N 0.702 0.298 0.971
18 N 0.968 0.032 0.321

formation energy (no corrections) = -9.00 eV per formula unit
total magnetic moment = 0.0 μB/cell

=====

No. 3
VASP calculation (PBE-GGA) on crystalline TaAgAs at its relaxed geometry.

a = 7.194 Å, b = 7.194 Å, c = 7.194 Å
α = 156.76°, β = 156.76°, γ = 33.11°
Fractional coordinates of all 3 atoms:
1 Ta 0.000 0.000 0.000
2 Ag 0.347 0.347 0.000
3 As 0.640 0.640 0.000

ΔH_f (0 K) = 0.60 eV/f.u.
total magnetic moment = 0.0 μB/cell

=====

No. 4
VASP calculation (PBE-GGA) on crystalline NaInSn at its relaxed geometry.

a = 4.590 Å, b = 5.981 Å, c = 6.726 Å
α = 109.36°, β = 90.13°, γ = 112.49°
Fractional coordinates of all 6 atoms:
1 Na 0.163 0.326 0.330
2 Na 0.837 0.674 0.670
3 In 0.500 0.000 0.000
4 In 0.500 0.000 0.500
5 Sn 0.171 0.342 0.838
6 Sn 0.829 0.658 0.162

ΔH_f (0 K) = -0.33 eV/f.u.
total magnetic moment = 0.0 μB/cell

=====

No. 5
VASP calculation (PBE-GGA) on crystalline Sm2Sn4Pt3Au at its relaxed geometry.

a = 4.588 Å, b = 4.588 Å, c = 10.861 Å
α = 90.00°, β = 90.00°, γ = 90.00°
Fractional coordinates of all 10 atoms:
1 Sm 0.000 0.500 0.237
2 Sm 0.500 0.000 0.763
3 Sn 0.000 0.000 0.500
4 Sn 0.000 0.500 0.865
5 Sn 0.500 0.000 0.135
6 Sn 0.500 0.500 0.500
7 Pt 0.000 0.000 0.000
8 Pt 0.000 0.500 0.627
9 Pt 0.500 0.000 0.373
10 Au 0.500 0.500 0.000

ΔH_f (0 K) = -7.51 eV/f.u.
total magnetic moment = 0.0 μB/cell

=====

No. 6
VASP calculation (PBE-GGA) on crystalline Cd2InSn2Hg4 at its relaxed geometry.

a = 8.370 Å, b = 8.370 Å, c = 8.306 Å
α = 116.35°, β = 116.35°, γ = 26.76°
Fractional coordinates of all 9 atoms:
1 Cd 0.172 0.172 0.492
2 Cd 0.828 0.828 0.508
3 In 0.500 0.500 0.500
4 Sn 0.364 0.364 0.862
5 Sn 0.636 0.636 0.138
6 Hg 0.021 0.021 0.815
7 Hg 0.301 0.301 0.181
8 Hg 0.699 0.699 0.819
9 Hg 0.979 0.979 0.185

ΔH_f (0 K) = 0.52 eV/f.u.
total magnetic moment = 0.0 μB/cell

=====

No. 7
VASP calculation (PBE-GGA) on crystalline PmSm4Er2 at its relaxed geometry.

a = 8.647 Å, b = 8.647 Å, c = 8.835 Å
α = 118.44°, β = 118.44°, γ = 23.75°
Fractional coordinates of all 7 atoms:
1 Pm 0.000 0.000 0.000
2 Sm 0.295 0.295 0.707
3 Sm 0.362 0.362 0.170
4 Sm 0.638 0.638 0.830
5 Sm 0.705 0.705 0.293
6 Er 0.071 0.071 0.430
7 Er 0.929 0.929 0.570

ΔH_f (0 K) = 0.24 eV/f.u.
distance to the lowest polymorph of the same formula = 0.00 eV per formula unit
total magnetic moment = 0.0 μB/cell

=====

No. 8
VASP calculation (PBE-GGA) on crystalline LaMo2PtSe at its relaxed geometry.

a = 4.602 Å, b = 4.602 Å, c = 5.554 Å
α = 90.00°, β = 90.00°, γ = 90.00°
Fractional coordinates of all 5 atoms:
1 La 0.000 0.000 0.000
2 Mo 0.000 0.500 0.500
3 Mo 0.500 0.000 0.500
4 Pt 0.500 0.500 0.000
5 Se 0.000 0.000 0.500

formation energy (no corrections) = 3.11 eV per formula unit
total magnetic moment = 0.0 μB/cell

=====

No. 9
VASP calculation (PBE-GGA) on crystalline CsGaCo2 at its relaxed geometry.

a = 9.039 Å, b = 9.039 Å, c = 9.039 Å
α = 148.41°, β = 148.41°, γ = 45.28°
Fractional coordinates of all 8 atoms:
1 Cs 0.375 0.625 0.750
2 Cs 0.625 0.375 0.250
3 Ga 0.125 0.875 0.250
4 Ga 0.875 0.125 0.750
5 Co 0.000 0.000 0.000
6 Co 0.000 0.000 0.500
7 Co 0.000 0.500 0.000
8 Co 0.500 0.000 0.500

ΔH_f (0 K) = 2.89 eV/f.u.
total magnetic moment = 4.6 μB/cell

=====

No. 10
VASP calculation (PBE-GGA) on crystalline RbNaIn11 at its relaxed geometry.

a = 8.362 Å, b = 8.362 Å, c = 8.224 Å
α = 98.32°, β = 98.32°, γ = 134.70°
Fractional coordinates of all 13 atoms:
1 Rb 0.000 0.000 0.000
2 Na 0.500 0.500 0.500
3 In 0.000 0.000 0.500
4 In 0.000 0.500 0.000
5 In 0.013 0.368 0.359
6 In 0.280 0.501 0.783
7 In 0.368 0.013 0.359
8 In 0.499 0.720 0.217
9 In 0.500 0.000 0.000
10 In 0.501 0.280 0.783
11 In 0.632 0.987 0.641
12 In 0.720 0.499 0.217
13 In 0.987 0.632 0.641

ΔH_f (0 K) = -0.44 eV/f.u.
total magnetic moment = 0.0 μB/cell

=====

No. 11
VASP calculation (PBE-GGA) on crystalline LiAlO2F at its relaxed geometry.

a = 3.636 Å, b = 3.636 Å, c = 3.857 Å
α = 90.00°, β = 90.00°, γ = 90.00°
Fractional coordinates of all 5 atoms:
1 Li 0.000 0.000 0.000
2 Al 0.500 0.500 0.500
3 O 0.000 0.500 0.500
4 O 0.500 0.000 0.500
5 F 0.500 0.500 0.000

formation energy (no corrections) = -11.52 eV per formula unit
total magnetic moment = 0.9 μB/cell

=====

No. 12
VASP calculation (PBE-GGA) on crystalline Ca3Ge3Au8 at its relaxed geometry.

a = 8.368 Å, b = 8.368 Å, c = 4.997 Å
α = 102.12°, β = 102.12°, γ = 62.90°
Fractional coordinates of all 14 atoms:
1 Ca 0.000 0.000 0.000
2 Ca 0.275 0.275 0.266
3 Ca 0.725 0.725 0.734
4 Ge 0.332 0.668 0.500
5 Ge 0.500 0.500 0.000
6 Ge 0.668 0.332 0.500
7 Au 0.006 0.692 0.318
8 Au 0.164 0.553 0.826
9 Au 0.308 0.994 0.682
10 Au 0.447 0.836 0.174
11 Au 0.553 0.164 0.826
12 Au 0.692 0.006 0.318
13 Au 0.836 0.447 0.174
14 Au 0.994 0.308 0.682

ΔH_f (0 K) = -6.31 eV/f.u.
distance to the lowest polymorph of the same formula = 0.88 eV per formula unit
total magnetic moment = 0.0 μB/cell

=====

No. 13
VASP calculation (PBE-GGA) on crystalline Y3PuAu4 at its relaxed geometry.

a = 3.597 Å, b = 3.597 Å, c = 14.583 Å
α = 90.00°, β = 90.00°, γ = 90.00°
Fractional coordinates of all 8 atoms:
1 Y 0.000 0.000 0.000
2 Y 0.000 0.000 0.249
3 Y 0.000 0.000 0.751
4 Pu 0.000 0.000 0.500
5 Au 0.500 0.500 0.123
6 Au 0.500 0.500 0.366
7 Au 0.500 0.500 0.634
8 Au 0.500 0.500 0.877

ΔH_f (0 K) = -6.00 eV/f.u.
total magnetic moment = 5.8 μB/cell

=====

No. 14
VASP calculation (PBE-GGA) on crystalline LaGa6Pt12 at its relaxed geometry.

a = 7.290 Å, b = 7.290 Å, c = 7.290 Å
α = 106.19°, β = 106.19°, γ = 106.19°
Fractional coordinates of all 19 atoms:
1 La 0.000 0.000 0.000
2 Ga 0.270 0.270 0.701
3 Ga 0.270 0.701 0.270
4 Ga 0.299 0.730 0.730
5 Ga 0.701 0.270 0.270
6 Ga 0.730 0.299 0.730
7 Ga 0.730 0.730 0.299
8 Pt 0.123 0.500 0.877
9 Pt 0.123 0.877 0.500
10 Pt 0.155 0.395 0.395
11 Pt 0.395 0.155 0.395
12 Pt 0.395 0.395 0.155
13 Pt 0.500 0.123 0.877
14 Pt 0.500 0.877 0.123
15 Pt 0.605 0.605 0.845
16 Pt 0.605 0.845 0.605
17 Pt 0.845 0.605 0.605
18 Pt 0.877 0.123 0.500
19 Pt 0.877 0.500 0.123

ΔH_f (0 K) = -11.24 eV/f.u.
total magnetic moment = 0.0 μB/cell

=====

No. 15
VASP calculation (PBE-GGA) on crystalline ReOs2S at its relaxed geometry.

a = 6.535 Å, b = 6.535 Å, c = 6.535 Å
α = 130.47°, β = 130.47°, γ = 72.65°
Fractional coordinates of all 8 atoms:
1 Re 0.000 0.000 0.000
2 Re 0.750 0.250 0.500
3 Os 0.150 0.625 0.025
4 Os 0.375 0.400 0.525
5 Os 0.600 0.125 0.975
6 Os 0.875 0.850 0.475
7 S 0.250 0.750 0.500
8 S 0.500 0.500 0.000

formation energy (no corrections) = 2.99 eV per formula unit
total magnetic moment = 0.0 μB/cell

=====

No. 16
VASP calculation (PBE-GGA) on crystalline Ho4GaRu2Rh at its relaxed geometry.

a = 8.448 Å, b = 8.448 Å, c = 8.448 Å
α = 33.31°, β = 33.31°, γ = 33.31°
Fractional coordinates of all 8 atoms:
1 Ho 0.122 0.122 0.122
2 Ho 0.373 0.373 0.373
3 Ho 0.627 0.627 0.627
4 Ho 0.878 0.878 0.878
5 Ga 0.500 0.500 0.500
6 Ru 0.249 0.249 0.249
7 Ru 0.751 0.751 0.751
8 Rh 0.000 0.000 0.000

ΔH_f (0 K) = -4.56 eV/f.u.
total magnetic moment = 0.0 μB/cell